Record 1
Here is Ta2SnGe2 after structural relaxation from the Open Quantum Materials Database. Energies are from PBE.

## Properties
The calculated total energy comes out at -7.1459 eV per atom. As for the magnetization: 0.1 μB/f.u.

abc: 4.2429 4.2429 11.3190
angles: 90.00 90.00 90.00
With the nearest neighbours (Å) after each atom.
Space group I4/mmm (No. 139)
One atom of each set of equivalent atoms:
Ta: 0.0000 0.5000 0.2500 x4  4 Ge 2.66
Sn: 0.0000 0.0000 0.0000 x2  8 Ge 3.24, 8 Ta 3.54
Ge: 0.0000 0.0000 0.3913 x4  1 Ge 2.46, 4 Ta 2.66

=====

Record 2
Here is GdYZn6 after structural relaxation from the Open Quantum Materials Database. Energies are from PBE.

## Properties
The formation energy comes out at -28.6 kJ/mol of atoms. As for the magnetization: 0.0 μB/f.u.

abc: 4.6902 6.6080 4.6909
angles: 90.00 90.00 90.00
With the nearest neighbours (Å) after each atom.
Space group Pmm2 (No. 25)
One atom of each set of equivalent atoms:
Gd: 0.0000 0.0000 0.0000 x1  8 Zn 2.87
Y: 0.5000 0.5000 0.4913 x1  8 Zn 2.86-2.87
Zn: 0.0000 0.2505 0.5006 x2  4 Zn 2.86-2.87, 2 Y 2.87, 2 Gd 2.87
Zn: 0.0000 0.5000 0.9993 x1  8 Zn 2.86-2.87
Zn: 0.5000 0.0000 0.4923 x1  8 Zn 2.87-2.88
Zn: 0.5000 0.2505 0.9908 x2  2 Y 2.86-2.87, 4 Zn 2.87-2.88, 2 Gd 2.87

=====

Record 3
Here is LiZnSnIr after structural relaxation from the Open Quantum Materials Database. Energies are from PBE.

## Properties
The calculated total energy comes out at -4.3645 eV per atom. As for the magnetization: 0.0 μB/f.u.

abc: 4.4523 4.4523 6.3050
angles: 90.00 90.00 90.00
With the nearest neighbours (Å) after each atom.
Space group P-4m2 (No. 115)
One atom of each set of equivalent atoms:
Li: 0.0000 0.5000 0.2480 x2  4 Sn 2.72-2.73, 4 Zn 2.72-2.73
Zn: 0.0000 0.0000 0.5000 x1  4 Ir 2.73, 4 Li 2.73
Zn: 0.5000 0.5000 0.0000 x1  4 Li 2.72, 4 Ir 2.73
Sn: 0.0000 0.0000 0.0000 x1  4 Li 2.72, 4 Ir 2.73
Sn: 0.5000 0.5000 0.5000 x1  4 Ir 2.73, 4 Li 2.73
Ir: 0.0000 0.5000 0.7503 x2  4 Sn 2.73, 4 Zn 2.73

=====

Record 4
Here is SrGaAu after structural relaxation from the Open Quantum Materials Database. Energies are from PBE.

## Properties
The calculated total energy comes out at -2.6702 eV per atom.

abc: 7.2298 7.2298 7.2298
angles: 90.00 90.00 90.00
With the nearest neighbours (Å) after each atom.
Space group F-43m (No. 216)
One atom of each set of equivalent atoms:
Sr: 0.0000 0.0000 0.0000 x4  4 Au 3.13, 4 Ga 3.13
Ga: 0.2500 0.2500 0.2500 x4  4 Sr 3.13
Au: 0.2500 0.2500 0.7500 x4  4 Sr 3.13

=====

Record 5
Here is Dy3LuC2Se2 after structural relaxation from the Open Quantum Materials Database. Energies are from PBE.

## Properties
The calculated total energy comes out at -6.6271 eV per atom. As for the magnetization: 0.0 μB/f.u.

abc: 3.7364 3.7364 13.1954
angles: 90.00 90.00 120.00
With the nearest neighbours (Å) after each atom.
Space group P3m1 (No. 156)
One atom of each set of equivalent atoms:
Dy: 0.0000 0.0000 0.0000 x1  3 C 2.54
Dy: 0.0000 0.0000 0.3025 x1  3 C 2.53
Dy: 0.6667 0.3333 0.7974 x1  3 C 2.53
Lu: 0.6667 0.3333 0.4994 x1  3 C 2.51
C: 0.3333 0.6667 0.4028 x1  3 Lu 2.51, 3 Dy 2.53
C: 0.3333 0.6667 0.8982 x1  6 Dy 2.53-2.54
Se: 0.0000 0.0000 0.6450 x1  3 Lu 2.89, 3 Dy 2.95
Se: 0.6667 0.3333 0.1508 x1  6 Dy 2.94

=====

Record 6
Here is AgPbClO after structural relaxation from the Open Quantum Materials Database. Energies are from PBE.

## Properties
The calculated total energy comes out at -4.0183 eV per atom.

abc: 13.4447 3.6977 7.6082
angles: 90.00 120.97 90.00
With the nearest neighbours (Å) after each atom.
Space group C2/m (No. 12)
One atom of each set of equivalent atoms:
Ag: 0.1313 0.0000 0.1974 x4  2 O 2.46, 2 Cl 2.65
Pb: 0.1292 0.0000 0.7935 x4  3 O 2.32-2.42
Cl: 0.1170 0.5000 0.4323 x4  2 Ag 2.65
O: 0.1697 0.5000 0.0272 x4  3 Pb 2.32-2.42, 2 Ag 2.46

=====

What did the third record say?
Here is LiZnSnIr after structural relaxation from the Open Quantum Materials Database. Energies are from PBE.

## Properties
The calculated total energy comes out at -4.3645 eV per atom. As for the magnetization: 0.0 μB/f.u.

abc: 4.4523 4.4523 6.3050
angles: 90.00 90.00 90.00
With the nearest neighbours (Å) after each atom.
Space group P-4m2 (No. 115)
One atom of each set of equivalent atoms:
Li: 0.0000 0.5000 0.2480 x2  4 Sn 2.72-2.73, 4 Zn 2.72-2.73
Zn: 0.0000 0.0000 0.5000 x1  4 Ir 2.73, 4 Li 2.73
Zn: 0.5000 0.5000 0.0000 x1  4 Li 2.72, 4 Ir 2.73
Sn: 0.0000 0.0000 0.0000 x1  4 Li 2.72, 4 Ir 2.73
Sn: 0.5000 0.5000 0.5000 x1  4 Ir 2.73, 4 Li 2.73
Ir: 0.0000 0.5000 0.7503 x2  4 Sn 2.73, 4 Zn 2.73